1.
# BaCaSb4

BaCaSb4 after structural relaxation (GGA-PBE, Alexandria via LeMat-Bulk).

## Properties
total energy = -3.81 eV per atom
mass density = 5.7 g/cm3
total magnetization = 0.00 μB per formula unit
formation energy from raw total energies = -408 meV/atom

POSCAR file:
```
BaCaSb4
1.0
0.000 4.592 4.592
4.592 0.000 4.592
4.592 4.592 0.000
Ba Ca Sb
1 1 4
Direct
0.000 0.000 0.000
0.750 0.750 0.750
0.376 0.376 0.376
0.376 0.376 0.871
0.376 0.871 0.376
0.871 0.376 0.376
```

=====

2.
# AcCd4Hg7

AcCd4Hg7 after structural relaxation (GGA-PBE, Alexandria via LeMat-Bulk).

## Properties
DFT formation energy = -0.120 eV/atom
total energy = -0.94 eV per atom
mass density = 10.9 g/cm3
total magnetization = 0.00 μB per formula unit
distance to the lowest polymorph of the same formula = 0.000 eV per atom

POSCAR file:
```
AcCd4Hg7
1.0
6.068 0.000 0.000
-1.191 6.900 0.000
-0.475 -1.462 7.551
Ac Cd Hg
1 4 7
Direct
0.000 0.000 0.000
0.201 0.277 0.674
0.336 0.425 0.318
0.664 0.575 0.682
0.799 0.723 0.326
0.000 0.500 0.000
0.186 0.716 0.645
0.291 0.971 0.369
0.469 0.759 0.028
0.531 0.241 0.972
0.709 0.029 0.631
0.814 0.284 0.355
```

=====

3.
# CsWC2

CsWC2 after structural relaxation (GGA-PBE, Alexandria via LeMat-Bulk).

## Properties
DFT formation energy = 3.243 eV/atom
total energy = -4.82 eV per atom
mass density = 9.9 g/cm3
total magnetization = 0.00 μB per formula unit
distance to the lowest polymorph of the same formula = 2.662 eV per atom

POSCAR file:
```
CsWC2
1.0
0.000 3.055 3.055
3.055 0.000 3.055
3.055 3.055 0.000
Cs W C
1 1 2
Direct
0.000 0.000 0.000
0.500 0.500 0.500
0.250 0.250 0.250
0.750 0.750 0.750
```

=====

4.
# CaHoHgPb

CaHoHgPb after structural relaxation (GGA-PBE, Alexandria via LeMat-Bulk).

## Properties
DFT formation energy = -0.492 eV/atom
total energy = -3.14 eV per atom
mass density = 9.2 g/cm3
total magnetization = 0.00 μB per formula unit
distance to the lowest polymorph of the same formula = 0.000 eV per atom

POSCAR file:
```
CaHoHgPb
1.0
4.062 0.000 0.000
0.000 5.144 0.000
0.000 0.000 5.278
Ca Ho Hg Pb
1 1 1 1
Direct
0.000 0.000 0.000
0.000 0.500 0.500
0.500 0.500 0.000
0.500 0.000 0.500
```

=====

5.
# Nd4Sm4Y

Nd4Sm4Y after structural relaxation (GGA-PBE, Alexandria via LeMat-Bulk).

## Properties
DFT formation energy = 0.013 eV/atom
total energy = -4.92 eV per atom
mass density = 6.8 g/cm3
total magnetization = 0.00 μB per formula unit
distance to the lowest polymorph of the same formula = 0.000 eV per atom

POSCAR file:
```
Nd4Sm4Y
1.0
-5.472 5.472 2.577
5.472 -5.472 2.577
5.472 5.472 -2.577
Nd Sm Y
4 4 1
Direct
0.167 0.167 0.334
0.167 0.833 0.000
0.833 0.167 0.000
0.833 0.833 0.666
0.166 0.500 0.666
0.500 0.166 0.666
0.500 0.834 0.334
0.834 0.500 0.334
0.500 0.500 0.000
```

=====

6.
# Sr2I2F

Sr2I2F after structural relaxation (GGA-PBE, Alexandria via LeMat-Bulk).

## Properties
total energy = -3.03 eV per atom
mass density = 1.7 g/cm3
total magnetization = 0.00 μB per formula unit
formation energy from raw total energies = -1365 meV/atom

POSCAR file:
```
Sr2I2F
1.0
5.383 0.000 0.000
0.000 5.383 0.000
0.000 0.000 14.971
Sr I F
2 2 1
Direct
0.000 0.000 0.154
0.000 0.000 0.846
0.000 0.000 0.350
0.000 0.000 0.650
0.000 0.000 0.000
```

=====

7.
# Sm3Er3Tl2

Sm3Er3Tl2 after structural relaxation (GGA-PBE, Alexandria via LeMat-Bulk).

## Properties
DFT formation energy = -0.181 eV/atom
total energy = -4.25 eV per atom
mass density = 9.7 g/cm3
total magnetization = 1.21 μB per formula unit
distance to the lowest polymorph of the same formula = 0.000 eV per atom

POSCAR file:
```
Sm3Er3Tl2
1.0
4.848 0.000 0.000
0.000 4.870 0.000
0.000 0.000 9.837
Sm Er Tl
3 3 2
Direct
0.000 0.000 0.000
0.000 0.000 0.500
0.500 0.500 0.000
0.500 0.000 0.252
0.500 0.000 0.748
0.500 0.500 0.500
0.000 0.500 0.253
0.000 0.500 0.747
```

=====

8.
# LiAlPb2

LiAlPb2 after structural relaxation (GGA-PBE, Alexandria via LeMat-Bulk).

## Properties
DFT formation energy = 0.028 eV/atom
total energy = -3.24 eV per atom
mass density = 7.6 g/cm3
total magnetization = 0.00 μB per formula unit

POSCAR file:
```
LiAlPb2
1.0
-1.779 2.564 5.355
1.779 -2.564 5.355
1.779 2.564 -5.355
Li Al Pb
1 1 2
Direct
0.000 0.000 0.000
0.780 0.280 0.500
0.252 0.752 0.500
0.529 0.529 0.000
```